No. 1
Density functional theory data (PBEsol) for KSc2Tc after structural relaxation.

```
KSc2Tc
1.0
4.3150 0.0000 0.0000
2.1575 4.5215 -0.0838
2.1575 1.3180 4.3260
Sc K Tc
2 1 1
direct
0.7819 0.2181 0.2181 Sc
0.2181 0.7819 0.7819 Sc
0.0000 0.5000 0.5000 K
0.5000 0.0000 0.0000 Tc
```

Results
Total energy: -5.765 eV/atom
Formation energy from the elements: 0.6378 eV/atom

No. 2
Density functional theory data (PBEsol) for KSc2Tc after structural relaxation.

```
KSc2Tc
1.0
3.3085 0.0000 0.0000
1.6543 2.8653 0.0000
1.6543 0.9551 10.6498
Tc Sc K
1 2 1
direct
0.5000 0.5000 0.5000 Tc
0.7758 0.7758 0.6725 Sc
0.2242 0.2242 0.3275 Sc
0.0000 0.0000 0.0000 K
```

Results
Total energy: -6.112 eV/atom
Formation energy from the elements: 0.2903 eV/atom

No. 3
Density functional theory data (PBEsol) for KScTc2 after structural relaxation.

```
KScTc2
1.0
2.5841 0.0000 0.0000
0.0000 5.3474 0.0000
0.0000 -2.6737 5.1017
Tc K Sc
2 1 1
direct
0.0000 0.5000 0.5000 Tc
0.0000 0.0000 0.5000 Tc
0.5000 0.0000 0.0000 K
0.5000 0.5000 0.0000 Sc
```

Results
Total energy: -6.524 eV/atom
Formation energy from the elements: 1.0434 eV/atom

No. 4
Density functional theory data (PBEsol) for K2ScTc after structural relaxation.

```
K2ScTc
1.0
-0.8142 -4.9109 2.3499
4.3070 -3.1275 1.4039
1.2422 -0.7502 5.3100
Tc K Sc
1 2 1
direct
0.5000 0.5000 0.5000 Tc
0.2500 0.2500 0.2500 K
0.7500 0.7500 0.7500 K
0.0000 0.0000 0.0000 Sc
```

Results
Total energy: -3.358 eV/atom
Formation energy from the elements: 1.6766 eV/atom

No. 5
Density functional theory data (PBEsol) for K2ScTc after structural relaxation.

```
K2ScTc
1.0
3.1136 0.0000 0.0000
0.0000 6.4766 0.0000
-1.5568 -3.2383 6.3697
K Sc Tc
2 1 1
direct
0.0475 0.0475 0.0951 K
0.2462 0.7462 0.4924 K
0.4243 0.4243 0.8486 Sc
0.7820 0.2820 0.5640 Tc
```

Results
Total energy: -4.134 eV/atom
Formation energy from the elements: 0.9008 eV/atom

No. 6
Density functional theory data (PBEsol) for KScTc2 after structural relaxation.

```
KScTc2
1.0
3.0586 0.0000 0.0000
-1.5293 3.9191 0.0167
0.0000 -0.5286 8.3161
Tc Sc K
2 1 1
direct
0.9936 0.9873 0.9571 Tc
0.2681 0.5362 0.8546 Tc
0.7280 0.4560 0.1395 Sc
0.5102 0.0205 0.5487 K
```

Results
Total energy: -6.986 eV/atom
Formation energy from the elements: 0.5821 eV/atom

No. 7
Density functional theory data (PBEsol) for K2ScTe after structural relaxation.

```
K2ScTe
1.0
-1.0890 2.2591 -2.6365
-2.2052 -1.2042 -2.6320
-10.8073 3.4895 4.9431
K Te Sc
2 1 1
direct
0.7396 0.7396 0.7813 K
0.2604 0.2604 0.2187 K
0.0000 0.0000 0.0000 Te
0.5000 0.5000 0.5000 Sc
```

Results
E_form (uncorrected): 126 meV per atom
Total energy: -2.974 eV/atom

No. 8
Density functional theory data (PBEsol) for K4ScTe after structural relaxation.

```
K4ScTe
1.0
-2.3552 2.0074 6.3731
3.6159 -1.7669 5.8307
3.4763 4.9743 3.6558
Sc K Te
1 4 1
direct
0.7500 0.7500 0.7500 Sc
0.3727 0.3727 0.8818 K
0.8818 0.3727 0.3727 K
0.3727 0.8818 0.3727 K
0.3727 0.3727 0.3727 K
0.0000 0.0000 0.0000 Te
```

Results
E_form (uncorrected): 373 meV per atom
Total energy: -2.071 eV/atom